Density functional theory data (PBE) for a relaxed NbNi4P16 crystal.

a = 19.801 Å, b = 5.729 Å, c = 11.234 Å
α = 90.00°, β = 100.69°, γ = 90.00°
Space group C2/c (No. 15)
Inequivalent atoms, fractional coordinates:
Nb1 0.000 0.106 0.250
Ni1 0.107 0.405 0.574
Ni2 0.249 0.055 0.129
P1 0.004 0.244 0.605
P2 0.063 0.451 0.369
P3 0.064 0.223 0.080
P4 0.123 0.003 0.839
P5 0.142 0.037 0.542
P6 0.142 0.370 0.781
P7 0.213 0.435 0.053
P8 0.223 0.163 0.313

Summary:
* N(E_F): 0.393 states/eV per atom
* energy relative to the elements: -0.315 eV/atom